# 1
# Tm6GePb2

A relaxed Tm6GePb2 crystal (GGA-PBE, Alexandria).

Computed properties:
As for the magnetic moment: 2.82 μB per formula unit. The value obtained for the total energy is -0.351 Ry/atom. The value obtained for the mass density is 10.2 g/cm3.

Cell: 4.171 8.230 8.230 Å, 120.00 90.00 90.00°
Each line ends with the local moment (μB).
Element x y z (fractional)
Ge1 0.500 0.000 0.000  -0.02
Pb1 0.000 0.667 0.333  0.00
Pb2 0.000 0.333 0.667  0.00
Tm1 0.500 0.604 0.000  0.32
Tm2 0.000 0.752 0.752  0.38
Tm3 0.000 0.000 0.248  0.38
Tm4 0.000 0.249 0.000  0.38
Tm5 0.500 0.000 0.604  0.32
Tm6 0.500 0.396 0.396  0.32

# 2
# Tm3GePb

A relaxed Tm3GePb crystal (GGA-PBE, Alexandria).

Computed properties:
As for the magnetic moment: 0.00 μB per formula unit. The value obtained for the total energy is -0.361 Ry/atom. The value obtained for the mass density is 9.5 g/cm3.

Cell: 4.566 6.828 8.801 Å, 90.00 90.00 90.00°
Element x y z (fractional)
Pb1 0.750 0.250 0.149
Pb2 0.250 0.750 0.851
Tm1 0.250 0.498 0.329
Tm2 0.250 0.002 0.329
Tm3 0.250 0.250 0.925
Tm4 0.750 0.502 0.671
Tm5 0.750 0.998 0.671
Tm6 0.750 0.750 0.075
Ge1 0.250 0.250 0.598
Ge2 0.750 0.750 0.402